First-principles (PBE) data for a geometry-optimized LaNi2Hg structure, as listed in Alexandria via LeMat-Bulk. Values from VASP.

Cell and atoms, written as Quantum ESPRESSO input:
```
&SYSTEM
  ibrav = 0, nat = 4, ntyp = 3
/
ATOMIC_SPECIES
La 138.91 La.upf
Ni 58.69 Ni.upf
Hg 200.59 Hg.upf
CELL_PARAMETERS angstrom
3.6462 0.0000 0.0000
0.0000 3.9325 0.0000
0.0000 0.0000 5.4493
ATOMIC_POSITIONS crystal
La 0.0000 0.0000 0.0000
Ni 0.0000 0.0000 0.4689
Ni 0.5000 0.5000 0.1821
Hg 0.5000 0.5000 0.6469
```

Output
Magnetization (μB per formula unit): 0.00
Formation energy (meV per atom): -21


First-principles (PBE) data for a geometry-optimized Sc3AsCl structure, as listed in Alexandria via LeMat-Bulk. Values from VASP.

Cell and atoms, written as Quantum ESPRESSO input:
```
&SYSTEM
  ibrav = 0, nat = 5, ntyp = 3
/
ATOMIC_SPECIES
Sc 44.96 Sc.upf
As 74.92 As.upf
Cl 35.45 Cl.upf
CELL_PARAMETERS angstrom
4.7156 0.0000 0.0000
0.0000 4.7156 0.0000
0.0000 0.0000 4.7156
ATOMIC_POSITIONS crystal
Sc 0.0000 0.0000 0.5000
Sc 0.0000 0.5000 0.0000
Sc 0.5000 0.0000 0.0000
As 0.5000 0.5000 0.5000
Cl 0.0000 0.0000 0.0000
```

Output
Magnetization (μB per formula unit): 0.00
Energy above the lowest structure with this stoichiometry (eV per formula unit): 0.000
ΔE_f (raw) (eV/atom): -0.4031


First-principles (PBE) data for a geometry-optimized Cs4Tb3DyTe8 structure, as listed in Alexandria via LeMat-Bulk. Values from VASP.

Cell and atoms, written as Quantum ESPRESSO input:
```
&SYSTEM
  ibrav = 0, nat = 16, ntyp = 4
/
ATOMIC_SPECIES
Cs 132.91 Cs.upf
Tb 158.93 Tb.upf
Dy 162.50 Dy.upf
Te 127.60 Te.upf
CELL_PARAMETERS angstrom
4.5661 2.6363 8.9236
-4.5661 2.6363 8.9236
0.0000 -5.2725 8.9236
ATOMIC_POSITIONS crystal
Cs 0.0000 0.0000 0.0000
Cs 0.0000 0.5000 0.5000
Cs 0.5000 0.0000 0.5000
Cs 0.5000 0.5000 0.0000
Tb 0.0000 0.0000 0.5000
Tb 0.0000 0.5000 0.0000
Tb 0.5000 0.0000 0.0000
Dy 0.5000 0.5000 0.5000
Te 0.2301 0.2301 0.2301
Te 0.2309 0.7295 0.7295
Te 0.2705 0.2705 0.7691
Te 0.2705 0.7691 0.2705
Te 0.7295 0.2309 0.7295
Te 0.7295 0.7295 0.2309
Te 0.7691 0.2705 0.2705
Te 0.7699 0.7699 0.7699
```

Output
Magnetization (μB per formula unit): 0.00
ΔE_f (raw) (eV/atom): -1.3916


First-principles (PBE) data for a geometry-optimized CdSi2Hg structure, as listed in Alexandria via LeMat-Bulk. Values from VASP.

Cell and atoms, written as Quantum ESPRESSO input:
```
&SYSTEM
  ibrav = 0, nat = 4, ntyp = 3
/
ATOMIC_SPECIES
Cd 112.41 Cd.upf
Si 28.09 Si.upf
Hg 200.59 Hg.upf
CELL_PARAMETERS angstrom
3.0874 0.0000 0.0000
0.0000 5.3622 0.0000
-0.1985 0.0000 5.0211
ATOMIC_POSITIONS crystal
Cd 0.0000 0.0000 0.0000
Si 0.2625 0.5000 0.1979
Si 0.7375 0.5000 0.8021
Hg 0.5000 0.0000 0.5000
```

Output
Magnetization (μB per formula unit): 0.00
Energy above the lowest structure with this stoichiometry (eV per formula unit): 1.027
ΔE_f (raw) (eV/atom): 0.4706


First-principles (PBE) data for a geometry-optimized KCo2PtC structure, as listed in Alexandria via LeMat-Bulk. Values from VASP.

Cell and atoms, written as Quantum ESPRESSO input:
```
&SYSTEM
  ibrav = 0, nat = 5, ntyp = 4
/
ATOMIC_SPECIES
K 39.10 K.upf
Co 58.93 Co.upf
Pt 195.08 Pt.upf
C 12.01 C.upf
CELL_PARAMETERS angstrom
4.4372 0.0000 0.0000
0.0000 4.4372 0.0000
0.0000 0.0000 4.1829
ATOMIC_POSITIONS crystal
K 0.0000 0.0000 0.0000
Co 0.0000 0.5000 0.0000
Co 0.5000 0.0000 0.0000
Pt 0.5000 0.5000 0.5000
C 0.0000 0.0000 0.5000
```

Output
Magnetization (μB per formula unit): 4.09
Formation energy (meV per atom): 3044


First-principles (PBE) data for a geometry-optimized KNp2GeO8 structure, as listed in Alexandria via LeMat-Bulk. Values from VASP.

Cell and atoms, written as Quantum ESPRESSO input:
```
&SYSTEM
  ibrav = 0, nat = 12, ntyp = 4
/
ATOMIC_SPECIES
K 39.10 K.upf
Np 237.00 Np.upf
Ge 72.64 Ge.upf
O 16.00 O.upf
CELL_PARAMETERS angstrom
3.6222 -3.3578 0.0000
3.6222 3.3578 0.0000
-0.3893 0.0000 7.0200
ATOMIC_POSITIONS crystal
K 0.0000 0.0000 0.0000
Np 0.4860 0.4860 0.7376
Np 0.5140 0.5140 0.2624
Ge 0.0000 0.0000 0.5000
O 0.1871 0.7925 0.3080
O 0.2075 0.8129 0.6920
O 0.2997 0.2997 0.5060
O 0.3392 0.3392 0.0400
O 0.6608 0.6608 0.9600
O 0.7003 0.7003 0.4940
O 0.7925 0.1871 0.3080
O 0.8129 0.2075 0.6920
```

Output
Magnetization (μB per formula unit): 3.00
ΔE_f (raw) (eV/atom): -2.2662


First-principles (PBE) data for a geometry-optimized TlB2Ir structure, as listed in Alexandria via LeMat-Bulk. Values from VASP.

Cell and atoms, written as Quantum ESPRESSO input:
```
&SYSTEM
  ibrav = 0, nat = 8, ntyp = 3
/
ATOMIC_SPECIES
Tl 204.38 Tl.upf
B 10.81 B.upf
Ir 192.22 Ir.upf
CELL_PARAMETERS angstrom
-2.6594 2.6594 5.8253
2.6594 -2.6594 5.8253
2.6594 2.6594 -5.8253
ATOMIC_POSITIONS crystal
Tl 0.3750 0.6250 0.7500
Tl 0.6250 0.3750 0.2500
B 0.0000 0.0000 0.0000
B 0.0000 0.0000 0.5000
B 0.0000 0.5000 0.0000
B 0.5000 0.0000 0.5000
Ir 0.1250 0.8750 0.2500
Ir 0.8750 0.1250 0.7500
```

Output
Magnetization (μB per formula unit): 0.00
Formation energy (meV per atom): 455
Energy above the lowest structure with this stoichiometry (eV per formula unit): 0.000


First-principles (PBE) data for a geometry-optimized CaAcTl4 structure, as listed in Alexandria via LeMat-Bulk. Values from VASP.

Cell and atoms, written as Quantum ESPRESSO input:
```
&SYSTEM
  ibrav = 0, nat = 6, ntyp = 3
/
ATOMIC_SPECIES
Ca 40.08 Ca.upf
Ac 227.00 Ac.upf
Tl 204.38 Tl.upf
CELL_PARAMETERS angstrom
3.9618 0.0000 0.0000
-0.0062 5.2216 0.0000
-0.0221 -0.0190 9.1330
ATOMIC_POSITIONS crystal
Ca 0.0000 0.0000 0.0000
Ac 0.0056 0.5000 0.5090
Tl 0.3888 0.5006 0.8486
Tl 0.3953 0.0000 0.3277
Tl 0.5904 0.0000 0.6752
Tl 0.6409 0.4995 0.1670
```

Output
Magnetization (μB per formula unit): 0.00
Formation energy (meV per atom): -284
Energy above the lowest structure with this stoichiometry (eV per formula unit): 0.000


First-principles (PBE) data for a geometry-optimized TiBH2Ru structure, as listed in Alexandria via LeMat-Bulk. Values from VASP.

Cell and atoms, written as Quantum ESPRESSO input:
```
&SYSTEM
  ibrav = 0, nat = 5, ntyp = 4
/
ATOMIC_SPECIES
Ti 47.87 Ti.upf
B 10.81 B.upf
H 1.01 H.upf
Ru 101.07 Ru.upf
CELL_PARAMETERS angstrom
3.3492 0.0000 0.0000
0.0000 3.3492 0.0000
0.0000 0.0000 4.6538
ATOMIC_POSITIONS crystal
Ti 0.0000 0.0000 0.0000
B 0.0000 0.0000 0.5000
H 0.0000 0.5000 0.5000
H 0.5000 0.0000 0.5000
Ru 0.5000 0.5000 0.0000
```

Output
Magnetization (μB per formula unit): 0.00
E (eV/atom): -5.170


First-principles (PBE) data for a geometry-optimized Os3Cl structure, as listed in Alexandria via LeMat-Bulk. Values from VASP.

Cell and atoms, written as Quantum ESPRESSO input:
```
&SYSTEM
  ibrav = 0, nat = 4, ntyp = 2
/
ATOMIC_SPECIES
Os 190.23 Os.upf
Cl 35.45 Cl.upf
CELL_PARAMETERS angstrom
3.1244 -3.4568 0.0000
3.1244 3.4568 0.0000
0.0000 0.0000 2.7642
ATOMIC_POSITIONS crystal
Os 0.0000 0.0000 0.0000
Os 0.0000 0.5000 0.5000
Os 0.5000 0.0000 0.5000
Cl 0.5000 0.5000 0.0000
```

Output
Magnetization (μB per formula unit): 0.00
Energy above the lowest structure with this stoichiometry (eV per formula unit): 2.826
ΔE_f (raw) (eV/atom): 1.3219


First-principles (PBE) data for a geometry-optimized La3TlSn2 structure, as listed in Alexandria via LeMat-Bulk. Values from VASP.

Cell and atoms, written as Quantum ESPRESSO input:
```
&SYSTEM
  ibrav = 0, nat = 24, ntyp = 3
/
ATOMIC_SPECIES
La 138.91 La.upf
Tl 204.38 Tl.upf
Sn 118.71 Sn.upf
CELL_PARAMETERS angstrom
13.1184 0.0000 0.0000
0.0000 4.8214 0.0000
0.0000 0.0000 12.4038
ATOMIC_POSITIONS crystal
La 0.0408 0.2500 0.1210
La 0.1307 0.7500 0.5688
La 0.2026 0.2500 0.8115
La 0.2974 0.7500 0.3115
La 0.3693 0.2500 0.0688
La 0.4592 0.7500 0.6210
La 0.5408 0.2500 0.3790
La 0.6307 0.7500 0.9312
La 0.7026 0.2500 0.6885
La 0.7974 0.7500 0.1885
La 0.8693 0.2500 0.4312
La 0.9592 0.7500 0.8790
Tl 0.1455 0.2500 0.3563
Tl 0.3545 0.7500 0.8563
Tl 0.6455 0.2500 0.1437
Tl 0.8545 0.7500 0.6437
Sn 0.0078 0.7500 0.3205
Sn 0.1856 0.7500 0.0262
Sn 0.3144 0.2500 0.5262
Sn 0.4922 0.2500 0.8205
Sn 0.5078 0.7500 0.1795
Sn 0.6856 0.7500 0.4738
Sn 0.8144 0.2500 0.9738
Sn 0.9922 0.2500 0.6795
```

Output
Magnetization (μB per formula unit): 0.29
Formation energy (meV per atom): -606
Energy above the lowest structure with this stoichiometry (eV per formula unit): 0.000


First-principles (PBE) data for a geometry-optimized Ta3TlTe structure, as listed in Alexandria via LeMat-Bulk. Values from VASP.

Cell and atoms, written as Quantum ESPRESSO input:
```
&SYSTEM
  ibrav = 0, nat = 5, ntyp = 3
/
ATOMIC_SPECIES
Ta 180.95 Ta.upf
Tl 204.38 Tl.upf
Te 127.60 Te.upf
CELL_PARAMETERS angstrom
5.0388 0.0000 0.0000
0.0000 5.0388 0.0000
0.0000 0.0000 5.0388
ATOMIC_POSITIONS crystal
Ta 0.0000 0.0000 0.5000
Ta 0.0000 0.5000 0.0000
Ta 0.5000 0.0000 0.0000
Tl 0.5000 0.5000 0.5000
Te 0.0000 0.0000 0.0000
```

Output
Magnetization (μB per formula unit): 0.00
Energy above the lowest structure with this stoichiometry (eV per formula unit): 0.000
ΔE_f (raw) (eV/atom): 1.7348